Entry 1:
# GGA-PBE PuZr4Tl, optimized geometry
data_PuZr4Tl
_cell_length_a 3.345
_cell_length_b 15.693
_cell_length_c 10.701
_cell_angle_alpha 90.00
_cell_angle_beta 90.00
_cell_angle_gamma 90.00
_symmetry_space_group_name_H-M 'C m c 21'
_symmetry_Int_Tables_number 36
loop_
_symmetry_equiv_pos_as_xyz
'x,y,z'
'-x,-y,z+1/2'
'-x,y,z'
'x,-y,z+1/2'
'x+1/2,y+1/2,z'
'-x+1/2,-y+1/2,z+1/2'
'-x+1/2,y+1/2,z'
'x+1/2,-y+1/2,z+1/2'
loop_
_atom_site_label
_atom_site_type_symbol
_atom_site_fract_x
_atom_site_fract_y
_atom_site_fract_z
_atom_site_occupancy
Pu1 Pu 0.000 0.150 0.000 1
Zr1 Zr 0.000 0.028 0.203 1
Zr2 Zr 0.000 0.184 0.511 1
Zr3 Zr 0.000 0.364 0.250 1
Zr4 Zr 0.000 0.479 0.956 1
Tl1 Tl 0.000 0.305 0.763 1
# - formation energy from the elements (eV per formula unit) = 0.18
# - crystal system = orthorhombic

Entry 2:
# GGA-PBE CaSbBr3, optimized geometry
data_CaSbBr3
_cell_length_a 5.651
_cell_length_b 5.651
_cell_length_c 5.651
_cell_angle_alpha 90.00
_cell_angle_beta 90.00
_cell_angle_gamma 90.00
_symmetry_space_group_name_H-M 'P m -3 m'
_symmetry_Int_Tables_number 221
_symmetry_space_group_name_Hall '-P 4 2 3'
loop_
_atom_site_label
_atom_site_type_symbol
_atom_site_fract_x
_atom_site_fract_y
_atom_site_fract_z
_atom_site_occupancy
Ca1 Ca 0.000 0.000 0.000 1
Sb1 Sb 0.500 0.500 0.500 1
Br1 Br 0.000 0.000 0.500 1
# - E_form (uncorrected) (eV/atom) = -0.79
# - relative energy among the computed polymorphs (kJ/mol of atoms) = 0.0
# - crystal system = cubic

What are the volume values for these records? In order: 23.407, 36.098 A^3/atom.
What are the final energy values for these records? In order: -8.451, -3.021 eV/atom.
What are the magnetic moment values for these records? In order: 5.43, 2.00 μB/f.u..